No. 1
Below is an optimized crystal structure of HgSb2Cl, with properties calculated at the GGA-PBEsol level.

Values from the calculation:
ΔE_f (raw), eV per atom: -0.06
Calculated density, g cm⁻³: 7.5
Space group: I-42d, No. 122
Volume, Å³ per cell: 423
Excess energy over the best structure of this formula in the dataset, meV/atom: 56
Raw total energy, eV/f.u.: -11.93

```
data_HgSb2Cl
_space_group_name_H-M_alt 'P 1'
_space_group_IT_number 1
_cell_length_a 4.416
_cell_length_b 4.416
_cell_length_c 21.670
_cell_angle_alpha 90.00
_cell_angle_beta 90.00
_cell_angle_gamma 90.00
loop_
_space_group_symop_operation_xyz
'x,y,z'
loop_
_atom_site_label
_atom_site_type_symbol
_atom_site_fract_x
_atom_site_fract_y
_atom_site_fract_z
Hg1 Hg 0.000 0.000 0.000
Hg2 Hg 0.000 0.500 0.250
Hg3 Hg 0.500 0.000 0.750
Hg4 Hg 0.500 0.500 0.500
Sb1 Sb 0.212 0.250 0.125
Sb2 Sb 0.250 0.712 0.375
Sb3 Sb 0.250 0.788 0.875
Sb4 Sb 0.288 0.250 0.625
Sb5 Sb 0.712 0.750 0.625
Sb6 Sb 0.750 0.212 0.875
Sb7 Sb 0.750 0.288 0.375
Sb8 Sb 0.788 0.750 0.125
Cl1 Cl 0.000 0.000 0.500
Cl2 Cl 0.000 0.500 0.750
Cl3 Cl 0.500 0.000 0.250
Cl4 Cl 0.500 0.500 0.000
```

---

No. 2
Below is an optimized crystal structure of Hg2SbCl, with properties calculated at the GGA-PBEsol level.

Values from the calculation:
ΔE_f (raw), eV per atom: -0.05
Calculated density, g cm⁻³: 9.8
Space group: Imm2, No. 44
Volume, Å³ per cell: 189
Excess energy over the best structure of this formula in the dataset, meV/atom: 93
Raw total energy, eV/f.u.: -7.91

```
data_Hg2SbCl
_space_group_name_H-M_alt 'P 1'
_space_group_IT_number 1
_cell_length_a 3.262
_cell_length_b 5.615
_cell_length_c 10.310
_cell_angle_alpha 90.00
_cell_angle_beta 90.00
_cell_angle_gamma 90.00
loop_
_space_group_symop_operation_xyz
'x,y,z'
loop_
_atom_site_label
_atom_site_type_symbol
_atom_site_fract_x
_atom_site_fract_y
_atom_site_fract_z
Hg1 Hg 0.000 0.000 0.000
Hg2 Hg 0.000 0.500 0.253
Hg3 Hg 0.500 0.000 0.753
Hg4 Hg 0.500 0.500 0.500
Sb1 Sb 0.000 0.500 0.745
Sb2 Sb 0.500 0.000 0.245
Cl1 Cl 0.000 0.000 0.484
Cl2 Cl 0.500 0.500 0.984
```

---

No. 3
Below is an optimized crystal structure of HgSbCl2, with properties calculated at the GGA-PBEsol level.

Values from the calculation:
ΔE_f (raw), eV per atom: -0.09
Calculated density, g cm⁻³: 7.4
Space group: I4/mmm, No. 139
Volume, Å³ per cell: 177
Excess energy over the best structure of this formula in the dataset, meV/atom: 0
Raw total energy, eV/f.u.: -9.49

```
data_HgSbCl2
_space_group_name_H-M_alt 'P 1'
_space_group_IT_number 1
_cell_length_a 4.516
_cell_length_b 4.516
_cell_length_c 8.696
_cell_angle_alpha 90.00
_cell_angle_beta 90.00
_cell_angle_gamma 90.00
loop_
_space_group_symop_operation_xyz
'x,y,z'
loop_
_atom_site_label
_atom_site_type_symbol
_atom_site_fract_x
_atom_site_fract_y
_atom_site_fract_z
Hg1 Hg 0.000 0.000 0.000
Hg2 Hg 0.500 0.500 0.500
Sb1 Sb 0.000 0.000 0.500
Sb2 Sb 0.500 0.500 0.000
Cl1 Cl 0.000 0.500 0.250
Cl2 Cl 0.000 0.500 0.750
Cl3 Cl 0.500 0.000 0.250
Cl4 Cl 0.500 0.000 0.750
```

---

No. 4
Below is an optimized crystal structure of YHgSbCl2, with properties calculated at the GGA-PBEsol level.

Values from the calculation:
ΔE_f (raw), eV per atom: -0.03
Calculated density, g cm⁻³: 5.3
Space group: P4/mmm, No. 123
Volume, Å³ per cell: 151
Raw total energy, eV/f.u.: -16.10

```
data_YHgSbCl2
_space_group_name_H-M_alt 'P 1'
_space_group_IT_number 1
_cell_length_a 5.152
_cell_length_b 5.152
_cell_length_c 5.676
_cell_angle_alpha 90.00
_cell_angle_beta 90.00
_cell_angle_gamma 90.00
loop_
_space_group_symop_operation_xyz
'x,y,z'
loop_
_atom_site_label
_atom_site_type_symbol
_atom_site_fract_x
_atom_site_fract_y
_atom_site_fract_z
Y1 Y 0.000 0.000 0.000
Hg1 Hg 0.500 0.500 0.000
Sb1 Sb 0.500 0.500 0.500
Cl1 Cl 0.000 0.500 0.500
Cl2 Cl 0.500 0.000 0.500
```

---

No. 5
Below is an optimized crystal structure of ScHg4Cl, with properties calculated at the GGA-PBEsol level.

Values from the calculation:
ΔE_f (raw), eV per atom: -0.07
Calculated density, g cm⁻³: 10.5
Space group: F-43m, No. 216
Volume, Å³ per cell: 140
Raw total energy, eV/f.u.: -11.30

```
data_ScHg4Cl
_space_group_name_H-M_alt 'P 1'
_space_group_IT_number 1
_cell_length_a 5.831
_cell_length_b 5.831
_cell_length_c 5.831
_cell_angle_alpha 60.00
_cell_angle_beta 60.00
_cell_angle_gamma 60.00
loop_
_space_group_symop_operation_xyz
'x,y,z'
loop_
_atom_site_label
_atom_site_type_symbol
_atom_site_fract_x
_atom_site_fract_y
_atom_site_fract_z
Sc1 Sc 0.000 0.000 0.000
Hg1 Hg 0.125 0.625 0.625
Hg2 Hg 0.625 0.125 0.625
Hg3 Hg 0.625 0.625 0.125
Hg4 Hg 0.625 0.625 0.625
Cl1 Cl 0.250 0.250 0.250
```

---

No. 6
Below is an optimized crystal structure of HgSeCl4, with properties calculated at the GGA-PBEsol level.

Values from the calculation:
ΔE_f (raw), eV per atom: 0.71
Calculated density, g cm⁻³: 5.4
Space group: F-43m, No. 216
Volume, Å³ per cell: 131
Raw total energy, eV/f.u.: -8.20

```
data_HgSeCl4
_space_group_name_H-M_alt 'P 1'
_space_group_IT_number 1
_cell_length_a 5.696
_cell_length_b 5.696
_cell_length_c 5.696
_cell_angle_alpha 60.00
_cell_angle_beta 60.00
_cell_angle_gamma 60.00
loop_
_space_group_symop_operation_xyz
'x,y,z'
loop_
_atom_site_label
_atom_site_type_symbol
_atom_site_fract_x
_atom_site_fract_y
_atom_site_fract_z
Hg1 Hg 0.000 0.000 0.000
Se1 Se 0.250 0.250 0.250
Cl1 Cl 0.126 0.625 0.625
Cl2 Cl 0.625 0.126 0.625
Cl3 Cl 0.625 0.625 0.126
Cl4 Cl 0.625 0.625 0.625
```

---

No. 7
Below is an optimized crystal structure of HgSe2Cl, with properties calculated at the GGA-PBEsol level.

Values from the calculation:
ΔE_f (raw), eV per atom: 0.00
Calculated density, g cm⁻³: 6.8
Space group: Fmmm, No. 69
Volume, Å³ per cell: 385
Excess energy over the best structure of this formula in the dataset, meV/atom: 71
Raw total energy, eV/f.u.: -10.28

```
data_HgSe2Cl
_space_group_name_H-M_alt 'P 1'
_space_group_IT_number 1
_cell_length_a 5.330
_cell_length_b 5.370
_cell_length_c 13.449
_cell_angle_alpha 90.00
_cell_angle_beta 90.00
_cell_angle_gamma 90.00
loop_
_space_group_symop_operation_xyz
'x,y,z'
loop_
_atom_site_label
_atom_site_type_symbol
_atom_site_fract_x
_atom_site_fract_y
_atom_site_fract_z
Hg1 Hg 0.000 0.000 0.000
Hg2 Hg 0.000 0.500 0.500
Hg3 Hg 0.500 0.000 0.500
Hg4 Hg 0.500 0.500 0.000
Se1 Se 0.000 0.250 0.250
Se2 Se 0.000 0.250 0.750
Se3 Se 0.000 0.750 0.250
Se4 Se 0.000 0.750 0.750
Se5 Se 0.500 0.250 0.250
Se6 Se 0.500 0.250 0.750
Se7 Se 0.500 0.750 0.250
Se8 Se 0.500 0.750 0.750
Cl1 Cl 0.000 0.000 0.500
Cl2 Cl 0.000 0.500 0.000
Cl3 Cl 0.500 0.000 0.000
Cl4 Cl 0.500 0.500 0.500
```

---

No. 8
Below is an optimized crystal structure of HgSe2Cl, with properties calculated at the GGA-PBEsol level.

Values from the calculation:
ΔE_f (raw), eV per atom: -0.07
Calculated density, g cm⁻³: 6.5
Space group: Cm, No. 8
Volume, Å³ per cell: 200
Excess energy over the best structure of this formula in the dataset, meV/atom: 0
Raw total energy, eV/f.u.: -10.57

```
data_HgSe2Cl
_space_group_name_H-M_alt 'P 1'
_space_group_IT_number 1
_cell_length_a 7.238
_cell_length_b 3.854
_cell_length_c 7.348
_cell_angle_alpha 90.00
_cell_angle_beta 102.29
_cell_angle_gamma 90.00
loop_
_space_group_symop_operation_xyz
'x,y,z'
loop_
_atom_site_label
_atom_site_type_symbol
_atom_site_fract_x
_atom_site_fract_y
_atom_site_fract_z
Hg1 Hg 0.000 0.000 0.000
Hg2 Hg 0.500 0.500 0.000
Se1 Se 0.028 0.500 0.547
Se2 Se 0.331 0.000 0.749
Se3 Se 0.528 0.000 0.547
Se4 Se 0.831 0.500 0.749
Cl1 Cl 0.216 0.500 0.208
Cl2 Cl 0.716 0.000 0.208
```

---

No. 9
Below is an optimized crystal structure of Hg2SeCl, with properties calculated at the GGA-PBEsol level.

Values from the calculation:
ΔE_f (raw), eV per atom: 0.15
Calculated density, g cm⁻³: 9.6
Space group: Pmmm, No. 47
Volume, Å³ per cell: 89
Raw total energy, eV/f.u.: -6.40

```
data_Hg2SeCl
_space_group_name_H-M_alt 'P 1'
_space_group_IT_number 1
_cell_length_a 3.001
_cell_length_b 4.875
_cell_length_c 6.087
_cell_angle_alpha 90.00
_cell_angle_beta 90.00
_cell_angle_gamma 90.00
loop_
_space_group_symop_operation_xyz
'x,y,z'
loop_
_atom_site_label
_atom_site_type_symbol
_atom_site_fract_x
_atom_site_fract_y
_atom_site_fract_z
Hg1 Hg 0.000 0.000 0.000
Hg2 Hg 0.500 0.500 0.000
Se1 Se 0.000 0.500 0.500
Cl1 Cl 0.500 0.000 0.500
```

---

No. 10
Below is an optimized crystal structure of SiHg2Cl, with properties calculated at the GGA-PBEsol level.

Values from the calculation:
ΔE_f (raw), eV per atom: 0.06
Calculated density, g cm⁻³: 8.0
Space group: Imm2, No. 44
Volume, Å³ per cell: 194
Excess energy over the best structure of this formula in the dataset, meV/atom: 113
Raw total energy, eV/f.u.: -8.64

```
data_SiHg2Cl
_space_group_name_H-M_alt 'P 1'
_space_group_IT_number 1
_cell_length_a 3.122
_cell_length_b 4.158
_cell_length_c 14.908
_cell_angle_alpha 90.00
_cell_angle_beta 90.00
_cell_angle_gamma 90.00
loop_
_space_group_symop_operation_xyz
'x,y,z'
loop_
_atom_site_label
_atom_site_type_symbol
_atom_site_fract_x
_atom_site_fract_y
_atom_site_fract_z
Si1 Si 0.000 0.000 0.000
Si2 Si 0.500 0.500 0.500
Hg1 Hg 0.000 0.000 0.438
Hg2 Hg 0.000 0.500 0.286
Hg3 Hg 0.500 0.000 0.786
Hg4 Hg 0.500 0.500 0.938
Cl1 Cl 0.000 0.500 0.626
Cl2 Cl 0.500 0.000 0.126
```

---

No. 11
Below is an optimized crystal structure of Si2HgCl, with properties calculated at the GGA-PBEsol level.

Values from the calculation:
ΔE_f (raw), eV per atom: 0.62
Calculated density, g cm⁻³: 4.8
Space group: I-42d, No. 122
Volume, Å³ per cell: 405
Excess energy over the best structure of this formula in the dataset, meV/atom: 175
Raw total energy, eV/f.u.: -11.59

```
data_Si2HgCl
_space_group_name_H-M_alt 'P 1'
_space_group_IT_number 1
_cell_length_a 5.570
_cell_length_b 5.570
_cell_length_c 13.056
_cell_angle_alpha 90.00
_cell_angle_beta 90.00
_cell_angle_gamma 90.00
loop_
_space_group_symop_operation_xyz
'x,y,z'
loop_
_atom_site_label
_atom_site_type_symbol
_atom_site_fract_x
_atom_site_fract_y
_atom_site_fract_z
Si1 Si 0.233 0.250 0.125
Si2 Si 0.250 0.733 0.375
Si3 Si 0.250 0.767 0.875
Si4 Si 0.267 0.250 0.625
Si5 Si 0.733 0.750 0.625
Si6 Si 0.750 0.233 0.875
Si7 Si 0.750 0.267 0.375
Si8 Si 0.767 0.750 0.125
Hg1 Hg 0.000 0.000 0.000
Hg2 Hg 0.000 0.500 0.250
Hg3 Hg 0.500 0.000 0.750
Hg4 Hg 0.500 0.500 0.500
Cl1 Cl 0.000 0.000 0.500
Cl2 Cl 0.000 0.500 0.750
Cl3 Cl 0.500 0.000 0.250
Cl4 Cl 0.500 0.500 0.000
```

---

No. 12
Below is an optimized crystal structure of SiHg2Cl, with properties calculated at the GGA-PBEsol level.

Values from the calculation:
ΔE_f (raw), eV per atom: -0.02
Calculated density, g cm⁻³: 8.4
Space group: P2/m, No. 10
Volume, Å³ per cell: 92
Excess energy over the best structure of this formula in the dataset, meV/atom: 29
Raw total energy, eV/f.u.: -8.97

```
data_SiHg2Cl
_space_group_name_H-M_alt 'P 1'
_space_group_IT_number 1
_cell_length_a 4.763
_cell_length_b 3.103
_cell_length_c 6.666
_cell_angle_alpha 90.00
_cell_angle_beta 110.73
_cell_angle_gamma 90.00
loop_
_space_group_symop_operation_xyz
'x,y,z'
loop_
_atom_site_label
_atom_site_type_symbol
_atom_site_fract_x
_atom_site_fract_y
_atom_site_fract_z
Si1 Si 0.000 0.000 0.000
Hg1 Hg 0.185 0.500 0.368
Hg2 Hg 0.815 0.500 0.632
Cl1 Cl 0.500 0.000 0.000
```